A relaxed RbSbPCl2 crystal, computed with PBE.

Cell: 5.9050 5.9050 6.2836 Å, 90.00 90.00 90.00°
With the nearest neighbours (Å) after each atom.
Atoms (fractional coordinates):
Sb: 0.5000 0.5000 0.5000  4 P 4.18, 8 Cl 4.31
P: 0.0000 0.0000 0.5000  2 Rb 3.14
Rb: 0.0000 0.0000 0.0000  4 Cl 2.95, 2 P 3.14
Cl: 0.0000 0.5000 0.0000  2 Rb 2.95
Cl: 0.5000 0.0000 0.0000  2 Rb 2.95

Computed properties:
As for the density of states at the Fermi level: 5.7 states/eV per cell. The energy relative to the lowest polymorph listed for this composition comes out at 1.076 eV per atom. The energy relative to the elements, uncorrected comes out at 542 meV per atom.